A relaxed LiGeB crystal, computed with GGA-PBE.

a = 3.5144 Å, b = 3.5144 Å, c = 7.9909 Å
α = 90.00°, β = 90.00°, γ = 120.00°
Last column: nearest neighbours and their distance in Å.
Space group P6_3/mmc (No. 194)
Inequivalent atoms, fractional coordinates:
Li 0.0000 0.0000 0.0000  6 Ge 2.85, 6 B 2.85
Ge 0.3333 0.6667 0.2500  3 B 2.03
B 0.3333 0.6667 0.7500  3 Ge 2.03

Computed properties:
Magnetic moment = 0.00 μB per cell
Formation energy from the elements = 0.055 eV/atom

A relaxed Zn2NiTe crystal, computed with GGA-PBE.

a = 3.0548 Å, b = 3.0548 Å, c = 27.9778 Å
α = 90.00°, β = 90.00°, γ = 120.00°
Last column: nearest neighbours and their distance in Å.
Space group R-3m (No. 166, hexagonal axes)
Inequivalent atoms, fractional coordinates:
Zn 0.0000 0.0000 0.2282  3 Ni 2.46
Ni 0.0000 0.0000 0.5000  6 Zn 2.46
Te 0.0000 0.0000 0.0000  6 Te 3.05

Computed properties:
Magnetic moment = 0.00 μB per cell
ΔE to the lowest computed polymorph = 0.96 eV/f.u.
ΔE_f (raw) = 0.20 eV/atom

A relaxed RbGeSb2 crystal, computed with GGA-PBE.

a = 4.1290 Å, b = 4.1290 Å, c = 7.6107 Å
α = 90.00°, β = 90.00°, γ = 90.00°
Last column: nearest neighbours and their distance in Å.
Space group P4/mmm (No. 123)
Inequivalent atoms, fractional coordinates:
Rb 0.0000 0.0000 0.0000  8 Sb 3.80, 2 Ge 3.81, 4 Rb 4.13
Ge 0.0000 0.0000 0.5000  8 Sb 3.22
Sb 0.5000 0.5000 0.3205  1 Sb 2.73

Computed properties:
Magnetic moment = 0.00 μB per cell
ΔE_f (raw) = -0.03 eV/atom

A relaxed K2HoZn2S4 crystal, computed with GGA-PBE.

a = 15.6563 Å, b = 3.8664 Å, c = 7.8825 Å
α = 90.00°, β = 113.63°, γ = 90.00°
Last column: nearest neighbours and their distance in Å.
Space group C2/m (No. 12)
Inequivalent atoms, fractional coordinates:
K 0.1273 0.0000 0.0588  7 S 3.23-3.45, 1 Zn 3.42
Ho 0.0000 0.0000 0.5000  6 S 2.75
Zn 0.1850 0.5000 0.5240  3 S 2.37-2.43
S 0.0326 0.5000 0.2852  1 Zn 2.37
S 0.1888 0.0000 0.7133  2 Zn 2.43

Computed properties:
Magnetic moment = 0.07 μB per cell
ΔE_f (raw) = -1.17 eV/atom

A relaxed CaTmZn crystal, computed with GGA-PBE.

a = 5.0521 Å, b = 5.0521 Å, c = 3.7774 Å
α = 90.00°, β = 90.00°, γ = 120.00°
Last column: nearest neighbours and their distance in Å.
Space group P3m1 (No. 156)
Inequivalent atoms, fractional coordinates:
Ca 0.0000 0.0000 0.0000  3 Zn 3.20, 6 Tm 3.43-3.52
Tm 0.6667 0.3333 0.5238  3 Zn 2.99
Zn 0.3333 0.6667 0.3496  3 Tm 2.99, 3 Ca 3.20

Computed properties:
Magnetic moment = 0.00 μB per cell
ΔE to the lowest computed polymorph = 0.58 eV/f.u.
Formation energy from the elements = 0.039 eV/atom

A relaxed PmGeOs2C crystal, computed with GGA-PBE.

a = 4.0371 Å, b = 11.1504 Å, c = 7.3141 Å
α = 90.00°, β = 90.00°, γ = 90.00°
Last column: nearest neighbours and their distance in Å.
Space group Cmcm (No. 63)
Inequivalent atoms, fractional coordinates:
Pm 0.0000 0.0484 0.2500  4 C 2.78
Ge 0.0000 0.2317 0.7500  6 Os 2.55-2.56
Os 0.0000 0.3358 0.0599  1 C 1.88
C 0.0000 0.5000 0.0000  2 Os 1.88

Computed properties:
Magnetic moment = 0.00 μB per cell
Formation energy from the elements = -0.320 eV/atom

A relaxed Li2ZrHRh crystal, computed with GGA-PBE.

a = 3.7377 Å, b = 3.7377 Å, c = 4.6965 Å
α = 90.00°, β = 90.00°, γ = 90.00°
Last column: nearest neighbours and their distance in Å.
Space group P4/mmm (No. 123)
Inequivalent atoms, fractional coordinates:
Li 0.0000 0.5000 0.0000  2 H 1.87
Zr 0.0000 0.0000 0.5000  2 H 2.35
H 0.0000 0.0000 0.0000  4 Li 1.87
Rh 0.5000 0.5000 0.5000  4 Zr 2.64

Computed properties:
DFT total energy = -24.96 eV/cell
Magnetic moment = 0.00 μB per cell

| no. | DOS(E_F) (states/eV/f.u.) |
| --- | --- |
| 1 | 0.0 |
| 2 | 2.4 |
| 3 | 0.8 |
| 4 | 3.9 |
| 5 | 2.7 |
| 6 | 3.3 |
| 7 | 2.2 |